Material: LiVP2O8
Method: DFT, PBE with a Hubbard U
State: relaxed Values from VASP.

Quantum ESPRESSO input file:
```
&SYSTEM
  ibrav = 0, nat = 24, ntyp = 4
/
ATOMIC_SPECIES
Li 6.94 Li.upf
V 50.94 V.upf
P 30.97 P.upf
O 16.00 O.upf
CELL_PARAMETERS angstrom
5.160 0.000 0.000
0.000 8.006 0.000
0.000 0.000 7.013
ATOMIC_POSITIONS angstrom
Li 0.000 1.820 0.000
Li 2.580 6.187 3.507
V 0.000 1.994 4.167
V 2.580 6.013 0.661
P 0.000 4.467 6.458
P 0.000 7.456 2.083
P 2.580 0.551 5.590
P 2.580 3.539 2.951
O 0.000 0.265 3.458
O 0.000 0.368 0.931
O 0.000 3.535 0.606
O 0.000 3.756 5.073
O 1.238 5.454 6.530
O 1.262 6.524 2.076
O 1.318 1.482 5.582
O 1.342 2.553 3.024
O 2.580 4.251 1.566
O 2.580 4.471 4.113
O 2.580 7.638 4.438
O 2.580 7.742 6.965
O 3.818 2.553 3.024
O 3.842 1.482 5.582
O 3.898 6.524 2.076
O 3.922 5.454 6.530
```

Values from the calculation:
Total moment (μB per atom): 0.000
Energy above the lowest structure with this stoichiometry (eV per formula unit): 0.838
VASP energy (eV/cell): -168.2
Crystal system: orthorhombic